This record from Alexandria via LeMat-Bulk describes a relaxed structure of ZrSiTc. The functional is GGA-PBE.

a = 3.2017 Å, b = 3.2017 Å, c = 9.6294 Å
α = 90.00°, β = 90.00°, γ = 90.00°
With the nearest neighbours (Å) after each atom.
Space group I4mm (No. 107)
Unique sites:
Zr 0.0000 0.0000 0.0000 (multiplicity 2)  5 Tc 2.93-2.95, 5 Si 2.94, 4 Zr 3.20
Si 0.0000 0.0000 0.6948 (multiplicity 2)  4 Tc 2.51
Tc 0.0000 0.0000 0.3067 (multiplicity 2)  4 Si 2.51

For the uncorrected formation energy, the calculation gives -0.5042 eV per atom. Its volume is 98.7 Å³/cell. The offset from the most stable computed form is 375 meV/atom.